DFT (GGA-PBE) results for Ag3C after structural relaxation.

Values from the calculation:
**Calculated formation energy**: 1.149 eV per atom
**Relative energy among the computed polymorphs**: 592 meV/atom
**DOS(E_F)**: 0.37 states/eV/atom

a = 8.062 Å, b = 8.062 Å, c = 8.062 Å
α = 21.62°, β = 21.62°, γ = 21.62°
Fractional coordinates of all 4 atoms:
Ag: 0.500 0.500 0.500
Ag: 0.732 0.732 0.732
Ag: 0.268 0.268 0.268
C: 0.000 0.000 0.000